A relaxed MgZnTc4 crystal. Source: the Alexandria database, functional PBE.

Cell lengths 5.3157, 5.3157, 4.3054 Å; angles 90.00, 90.00, 132.21 degrees
Positions (direct):
Mg1 0.0000 0.0000 0.0000
Zn1 0.5000 0.5000 0.5000
Tc1 0.1793 0.8207 0.5000
Tc2 0.3207 0.6793 0.0000
Tc3 0.6793 0.3207 0.0000
Tc4 0.8207 0.1793 0.5000

Calculated values
Energy relative to the lowest polymorph listed for this composition, meV per atom: 0
DOS(E_F), states/eV/atom: 0.38



A relaxed KDySn2F8 crystal. Source: the Alexandria database, functional PBE.

Cell lengths 4.0478, 5.9721, 8.1751 Å; angles 90.07, 90.08, 90.01 degrees
Positions (direct):
K1 0.0000 0.0000 0.0000
Dy1 0.0000 0.0000 0.5000
Sn1 0.4992 0.4994 0.7601
Sn2 0.5008 0.5006 0.2399
F1 0.0008 0.2415 0.7179
F2 0.0007 0.7598 0.7175
F3 0.5000 0.2056 0.5009
F4 0.5002 0.2836 0.9992
F5 0.4998 0.7164 0.0008
F6 0.5000 0.7944 0.4991
F7 0.9993 0.2402 0.2825
F8 0.9992 0.7585 0.2821

Calculated values
DOS(E_F), states/eV/atom: 0.00
Uncorrected energy, eV/cell: -64.35



A relaxed Cu2As crystal. Source: the Alexandria database, functional PBE.

Cell lengths 5.2105, 5.2105, 6.5185 Å; angles 111.78, 111.78, 31.32 degrees
Positions (direct):
Cu1 0.0519 0.0519 0.2922
Cu2 0.3663 0.3663 0.9763
Cu3 0.6337 0.6337 0.0237
Cu4 0.9481 0.9481 0.7078
As1 0.3286 0.3286 0.3338
As2 0.6714 0.6714 0.6662

Calculated values
DOS(E_F), states/eV/atom: 0.26
Uncorrected energy, eV/cell: -25.26



A relaxed Al3Bi5Br12 crystal. Source: the Alexandria database, functional PBE.

Cell lengths 12.8516, 12.8516, 12.8516 Å; angles 58.70, 58.70, 58.70 degrees
Positions (direct):
Al1 0.2351 0.7500 0.2649
Al2 0.2500 0.7351 0.7649
Al3 0.2649 0.2351 0.7500
Al4 0.7351 0.7649 0.2500
Al5 0.7500 0.2649 0.2351
Al6 0.7649 0.2500 0.7351
Bi1 0.1004 0.3996 0.2500
Bi2 0.1730 0.1730 0.1730
Bi3 0.2500 0.1004 0.3996
Bi4 0.3270 0.3270 0.3270
Bi5 0.3996 0.2500 0.1004
Bi6 0.6004 0.7500 0.8996
Bi7 0.6730 0.6730 0.6730
Bi8 0.7500 0.8996 0.6004
Bi9 0.8270 0.8270 0.8270
Bi10 0.8996 0.6004 0.7500
Br1 0.0511 0.9299 0.3070
Br2 0.0701 0.6930 0.9489
Br3 0.0913 0.2758 0.7058
Br4 0.1930 0.5701 0.4489
Br5 0.2058 0.7758 0.5913
Br6 0.2242 0.4087 0.7942
Br7 0.2758 0.7058 0.0913
Br8 0.2942 0.9087 0.7242
Br9 0.3070 0.0511 0.9299
Br10 0.4087 0.7942 0.2242
Br11 0.4299 0.5511 0.8070
Br12 0.4489 0.1930 0.5701
Br13 0.5511 0.8070 0.4299
Br14 0.5701 0.4489 0.1930
Br15 0.5913 0.2058 0.7758
Br16 0.6930 0.9489 0.0701
Br17 0.7058 0.0913 0.2758
Br18 0.7242 0.2942 0.9087
Br19 0.7758 0.5913 0.2058
Br20 0.7942 0.2242 0.4087
Br21 0.8070 0.4299 0.5511
Br22 0.9087 0.7242 0.2942
Br23 0.9299 0.3070 0.0511
Br24 0.9489 0.0701 0.6930

Calculated values
Uncorrected energy, eV/cell: -132.88